1.
Here is an optimized crystal structure of KZnSCl2 from the Alexandria database. Energies are from GGA-PBE.

a b c (Å): 5.9347 5.9347 6.0617
angles (deg): 90.00 90.00 90.00
Last column: nearest neighbours and their distance in Å.
Element x y z (fractional)
S  0.0000  0.0000  0.5000  2 K 3.03
Zn  0.5000  0.5000  0.5000  4 S 4.20, 8 Cl 4.24
K  0.0000  0.0000  0.0000  4 Cl 2.97, 2 S 3.03
Cl  0.0000  0.5000  0.0000  2 K 2.97
Cl  0.5000  0.0000  0.0000  2 K 2.97

Results
E_form (uncorrected) ... 191 meV per atom
Total magnetic moment ... 3.07 μB/cell
Space-group type ... P4/mmm
Mass density ... 1.6 g/cm3
DOS(E_F) ... 1.301 states/eV/atom
Energy ... -1.847 eV per atom

2.
Here is an optimized crystal structure of KZnS2Cl from the Alexandria database. Energies are from GGA-PBE.

a b c (Å): 4.6322 4.6322 5.7303
angles (deg): 90.00 90.00 90.00
Last column: nearest neighbours and their distance in Å.
Element x y z (fractional)
S  0.0000  0.5000  0.0000  2 Zn 2.32
S  0.5000  0.0000  0.0000  2 Zn 2.32
Zn  0.0000  0.0000  0.0000  4 S 2.32
K  0.5000  0.5000  0.5000  4 Cl 3.28
Cl  0.0000  0.0000  0.5000  2 Zn 2.87

Results
E_form (uncorrected) ... -503 meV per atom
Total magnetic moment ... 0.54 μB/cell
Space-group type ... P4/mmm
Mass density ... 2.8 g/cm3
DOS(E_F) ... 1.177 states/eV/atom
Energy ... -2.998 eV per atom

3.
Here is an optimized crystal structure of KZnSCl2 from the Alexandria database. Energies are from GGA-PBE.

a b c (Å): 5.1780 5.1780 4.6659
angles (deg): 90.00 90.00 90.00
Last column: nearest neighbours and their distance in Å.
Element x y z (fractional)
S  0.0000  0.0000  0.5000  2 Zn 2.33
Zn  0.0000  0.0000  0.0000  2 S 2.33, 4 Cl 2.59
K  0.5000  0.5000  0.5000  8 Cl 3.49, 4 S 3.66
Cl  0.0000  0.5000  0.0000  2 Zn 2.59
Cl  0.5000  0.0000  0.0000  2 Zn 2.59

Results
E_form (uncorrected) ... -893 meV per atom
Total magnetic moment ... 1.01 μB/cell
Space-group type ... P4/mmm
Mass density ... 2.8 g/cm3
DOS(E_F) ... 0.676 states/eV/atom
Energy ... -2.932 eV per atom

4.
Here is an optimized crystal structure of KZnS2Cl from the Alexandria database. Energies are from GGA-PBE.

a b c (Å): 6.1554 6.1554 5.8188
angles (deg): 90.00 90.00 90.00
Last column: nearest neighbours and their distance in Å.
Element x y z (fractional)
S  0.0000  0.5000  0.0000  2 K 3.08
S  0.5000  0.0000  0.0000  2 K 3.08
Zn  0.5000  0.5000  0.5000  8 S 4.24, 4 Cl 4.35
K  0.0000  0.0000  0.0000  2 Cl 2.91, 4 S 3.08
Cl  0.0000  0.0000  0.5000  2 K 2.91

Results
E_form (uncorrected) ... 640 meV per atom
Total magnetic moment ... 4.04 μB/cell
Space-group type ... P4/mmm
Mass density ... 1.5 g/cm3
DOS(E_F) ... 0.947 states/eV/atom
Energy ... -1.854 eV per atom

5.
Here is an optimized crystal structure of KZrSCl2 from the Alexandria database. Energies are from GGA-PBE.

a b c (Å): 6.4276 4.6577 6.4276
angles (deg): 90.00 90.00 90.00
Last column: nearest neighbours and their distance in Å.
Element x y z (fractional)
K  0.5000  0.5000  0.5000  8 Cl 3.97
S  0.0000  0.0000  0.0000  2 Zr 2.33
Zr  0.0000  0.5000  0.0000  2 S 2.33
Cl  0.0000  0.0000  0.5000  2 S 3.21
Cl  0.5000  0.0000  0.0000  2 S 3.21

Results
E_form (uncorrected) ... -497 meV per atom
Total magnetic moment ... 1.00 μB/cell
Space-group type ... P4/mmm
Mass density ... 2.0 g/cm3
DOS(E_F) ... 1.634 states/eV/atom
Energy ... -3.990 eV per atom

6.
Here is an optimized crystal structure of KZrSCl2 from the Alexandria database. Energies are from GGA-PBE.

a b c (Å): 5.1487 5.1487 5.0119
angles (deg): 90.00 90.00 90.00
Last column: nearest neighbours and their distance in Å.
Element x y z (fractional)
K  0.5000  0.5000  0.5000  8 Cl 3.59, 4 S 3.64
S  0.0000  0.0000  0.5000  2 Zr 2.51
Zr  0.0000  0.0000  0.0000  2 S 2.51, 4 Cl 2.57
Cl  0.0000  0.5000  0.0000  2 Zr 2.57
Cl  0.5000  0.0000  0.0000  2 Zr 2.57

Results
E_form (uncorrected) ... -1557 meV per atom
Total magnetic moment ... 0.00 μB/cell
Space-group type ... P4/mmm
Mass density ... 2.9 g/cm3
DOS(E_F) ... 0.296 states/eV/atom
Energy ... -5.050 eV per atom

7.
Here is an optimized crystal structure of KZrSCl2 from the Alexandria database. Energies are from GGA-PBE.

a b c (Å): 5.2321 5.2321 5.5147
angles (deg): 90.00 90.00 90.00
Last column: nearest neighbours and their distance in Å.
Element x y z (fractional)
K  0.0000  0.0000  0.0000  4 Cl 2.62, 2 S 2.76
S  0.0000  0.0000  0.5000  2 K 2.76
Zr  0.5000  0.5000  0.5000  4 S 3.70, 8 Cl 3.80
Cl  0.0000  0.5000  0.0000  2 K 2.62
Cl  0.5000  0.0000  0.0000  2 K 2.62

Results
E_form (uncorrected) ... 149 meV per atom
Total magnetic moment ... 1.00 μB/cell
Space-group type ... P4/mmm
Mass density ... 2.6 g/cm3
DOS(E_F) ... 1.044 states/eV/atom
Energy ... -3.344 eV per atom

8.
Here is an optimized crystal structure of KSb2Cl6 from the Alexandria database. Energies are from GGA-PBE.

a b c (Å): 6.4597 7.4431 7.4431
angles (deg): 120.00 90.00 90.00
Last column: nearest neighbours and their distance in Å.
Element x y z (fractional)
K  0.0000  0.0000  0.0000  6 Cl 3.25
Sb  0.5000  0.6667  0.3333  6 Cl 2.76
Sb  0.5000  0.3333  0.6667  6 Cl 2.76
Cl  0.7152  0.6395  0.6395  2 Sb 2.76
Cl  0.2848  0.6395  0.0000  2 Sb 2.76
Cl  0.2848  0.0000  0.6395  2 Sb 2.76
Cl  0.7152  0.3605  0.0000  2 Sb 2.76
Cl  0.2848  0.3605  0.3605  2 Sb 2.76
Cl  0.7152  0.0000  0.3605  2 Sb 2.76

Results
E_form (uncorrected) ... -945 meV per atom
Total magnetic moment ... 0.70 μB/cell
Space-group type ... P-31m
Mass density ... 2.7 g/cm3
DOS(E_F) ... 0.373 states/eV/atom
Energy ... -3.214 eV per atom

Copy entry 3 word for word.
Here is an optimized crystal structure of KZnSCl2 from the Alexandria database. Energies are from GGA-PBE.

a b c (Å): 5.1780 5.1780 4.6659
angles (deg): 90.00 90.00 90.00
Last column: nearest neighbours and their distance in Å.
Element x y z (fractional)
S  0.0000  0.0000  0.5000  2 Zn 2.33
Zn  0.0000  0.0000  0.0000  2 S 2.33, 4 Cl 2.59
K  0.5000  0.5000  0.5000  8 Cl 3.49, 4 S 3.66
Cl  0.0000  0.5000  0.0000  2 Zn 2.59
Cl  0.5000  0.0000  0.0000  2 Zn 2.59

Results
E_form (uncorrected) ... -893 meV per atom
Total magnetic moment ... 1.01 μB/cell
Space-group type ... P4/mmm
Mass density ... 2.8 g/cm3
DOS(E_F) ... 0.676 states/eV/atom
Energy ... -2.932 eV per atom

Question: Which of these has the lowest total magnetic moment?
Answer: number 6